# Li6V2OF11

Crystalline Li6V2OF11 at its relaxed geometry (PBE with a Hubbard U, Alexandria via LeMat-Bulk).

## Properties
calculated volume = 221.1 Å³/cell
Fermi-level density of states = 0.000 states/eV per cell
ΔE to the lowest computed polymorph = 27 meV/atom

Unit cell a=5.116 b=5.700 c=8.807 alpha=72.80 beta=89.95 gamma=65.52
Element x y z (fractional)
Li1 0.000 0.000 0.000
Li2 0.006 0.982 0.409
Li3 0.260 0.458 0.137
Li4 0.316 0.402 0.453
Li5 0.644 0.975 0.703
Li6 0.813 0.415 0.608
V1 0.292 0.458 0.804
V2 0.578 0.884 0.216
O1 0.296 0.652 0.911
F1 0.246 0.215 0.676
F2 0.277 0.160 0.005
F3 0.297 0.135 0.319
F4 0.335 0.657 0.590
F5 0.352 0.672 0.248
F6 0.701 0.201 0.821
F7 0.730 0.181 0.516
F8 0.759 0.133 0.178
F9 0.851 0.703 0.092
F10 0.872 0.659 0.412
F11 0.874 0.614 0.748